Density functional theory data (GGA-PBE) for a relaxed structure of AcHfN2.

The structure in POSCAR format:
```
AcHfN2
1.0
6.0435 0.0000 0.0000
0.0000 4.2422 0.0000
0.0000 0.0000 11.1128
Ac Hf N
4 4 8
direct
0.0272 0.2500 0.1591 Ac
0.4728 0.7500 0.6591 Ac
0.5272 0.2500 0.3409 Ac
0.9728 0.7500 0.8409 Ac
0.0038 0.7500 0.3922 Hf
0.4962 0.2500 0.8922 Hf
0.5038 0.7500 0.1078 Hf
0.9962 0.2500 0.6078 Hf
0.0502 0.7500 0.5882 N
0.2470 0.2500 0.7573 N
0.2530 0.7500 0.2573 N
0.4498 0.2500 0.0882 N
0.5502 0.7500 0.9118 N
0.7470 0.2500 0.7427 N
0.7530 0.7500 0.2427 N
0.9498 0.2500 0.4118 N
```

Formation energy (no corrections), kJ per mole of atoms: -134.29
Space group: No. 62